[1]
ZrSbPb4: relaxed, PBE-GGA.

Unit cell a=6.317 b=6.317 c=6.317 alpha=60.00 beta=60.00 gamma=60.00
Sites, in units of the cell vectors:
1 Zr 0.000 0.000 0.000
2 Sb 0.250 0.250 0.250
3 Pb 0.124 0.625 0.625
4 Pb 0.625 0.124 0.625
5 Pb 0.625 0.625 0.124
6 Pb 0.625 0.625 0.625

## Properties
**Symmetry**: No. 216
**Total energy**: -4.214 eV per atom
**Formation energy without anion corrections**: 214 kJ/mol of formula units

[2]
ZrSb2Pb: relaxed, PBE-GGA.

Unit cell a=3.876 b=4.080 c=14.892 alpha=90.00 beta=90.00 gamma=90.00
Sites, in units of the cell vectors:
1 Zr 0.000 0.000 0.000
2 Zr 0.500 0.500 0.500
3 Sb 0.000 0.000 0.437
4 Sb 0.000 0.500 0.648
5 Sb 0.500 0.000 0.148
6 Sb 0.500 0.500 0.937
7 Pb 0.000 0.500 0.252
8 Pb 0.500 0.000 0.752

## Properties
**Symmetry**: No. 44
**Total energy**: -5.326 eV per atom
**Formation energy without anion corrections**: -77 kJ/mol of formula units

Q: Which value of total energy does entry 1 give?
A: -4.214 eV per atom